[1]
# PBE Ac2ErSi3Rh4, relaxed
# - calculated total energy (eV/atom) = -6.782
# - ΔE_f (raw) (eV/atom) = -0.94
data_Ac2ErSi3Rh4
_space_group_name_H-M_alt 'P -4 m 2'
_space_group_IT_number 115
_cell_length_a 4.2457
_cell_length_b 4.2457
_cell_length_c 11.0287
_cell_angle_alpha 90.00
_cell_angle_beta 90.00
_cell_angle_gamma 90.00
loop_
_space_group_symop_operation_xyz
'x,y,z'
'y,-x,-z'
'-x,-y,z'
'-y,x,-z'
'-x,y,z'
'-y,-x,-z'
'x,-y,z'
'y,x,-z'
loop_
_atom_site_label
_atom_site_fract_x
_atom_site_fract_y
_atom_site_fract_z
Ac1 0.0000 0.5000 0.2371
Er1 0.0000 0.0000 0.5000
Si1 0.0000 0.5000 0.8857
Si2 0.5000 0.5000 0.5000
Rh1 0.0000 0.0000 0.0000
Rh2 0.0000 0.5000 0.6577
Rh3 0.5000 0.5000 0.0000

[2]
# PBE Ac2ErSn3Rh4, relaxed
# - calculated total energy (eV/atom) = -6.208
# - energy of formation (eV/f.u.) = -7.891
data_Ac2ErSn3Rh4
_space_group_name_H-M_alt 'P -4 m 2'
_space_group_IT_number 115
_cell_length_a 4.5071
_cell_length_b 4.5071
_cell_length_c 11.5190
_cell_angle_alpha 90.00
_cell_angle_beta 90.00
_cell_angle_gamma 90.00
loop_
_space_group_symop_operation_xyz
'x,y,z'
'y,-x,-z'
'-x,-y,z'
'-y,x,-z'
'-x,y,z'
'-y,-x,-z'
'x,-y,z'
'y,x,-z'
loop_
_atom_site_label
_atom_site_fract_x
_atom_site_fract_y
_atom_site_fract_z
Ac1 0.0000 0.5000 0.2386
Er1 0.0000 0.0000 0.5000
Sn1 0.0000 0.5000 0.8769
Sn2 0.5000 0.5000 0.5000
Rh1 0.0000 0.0000 0.0000
Rh2 0.0000 0.5000 0.6443
Rh3 0.5000 0.5000 0.0000